# 1
# Co4Se PBE relaxed
data_Co4Se
_chemical_formula_sum 'Co8 Se2'
_cell_length_a 3.267
_cell_length_b 3.267
_cell_length_c 12.240
_cell_angle_alpha 90.00
_cell_angle_beta 90.00
_cell_angle_gamma 90.00
_space_group_name_H-M_alt 'P 1'
_space_group_IT_number 1
_space_group_name_Hall 'P 1'
loop_
_atom_site_label
_atom_site_fract_x
_atom_site_fract_y
_atom_site_fract_z
Co1 0.000 0.000 0.103
Co2 0.000 0.000 0.897
Co3 0.000 0.500 0.250
Co4 0.000 0.500 0.750
Co5 0.500 0.000 0.250
Co6 0.500 0.000 0.750
Co7 0.500 0.500 0.397
Co8 0.500 0.500 0.603
Se1 0.000 0.000 0.500
Se2 0.500 0.500 0.000
# * space-group type: No. 139

***

# 2
# Co17Se20 PBE relaxed
data_Co17Se20
_chemical_formula_sum 'Co34 Se40'
_cell_length_a 10.498
_cell_length_b 10.772
_cell_length_c 12.395
_cell_angle_alpha 106.63
_cell_angle_beta 90.93
_cell_angle_gamma 119.00
_space_group_name_H-M_alt 'P 1'
_space_group_IT_number 1
_space_group_name_Hall 'P 1'
loop_
_atom_site_label
_atom_site_fract_x
_atom_site_fract_y
_atom_site_fract_z
Co1 0.000 0.000 0.000
Co2 0.000 0.000 0.500
Co3 0.056 0.598 0.396
Co4 0.090 0.645 0.893
Co5 0.110 0.215 0.303
Co6 0.128 0.798 0.204
Co7 0.156 0.797 0.730
Co8 0.190 0.409 0.098
Co9 0.214 0.413 0.604
Co10 0.247 0.971 0.983
Co11 0.281 0.036 0.494
Co12 0.316 0.613 0.906
Co13 0.328 0.204 0.803
Co14 0.363 0.202 0.339
Co15 0.405 0.816 0.206
Co16 0.409 0.823 0.700
Co17 0.447 0.406 0.097
Co18 0.455 0.366 0.577
Co19 0.545 0.634 0.423
Co20 0.553 0.594 0.903
Co21 0.591 0.177 0.300
Co22 0.595 0.184 0.794
Co23 0.637 0.798 0.661
Co24 0.672 0.796 0.197
Co25 0.684 0.387 0.094
Co26 0.719 0.964 0.506
Co27 0.753 0.029 0.017
Co28 0.786 0.587 0.396
Co29 0.810 0.591 0.902
Co30 0.844 0.203 0.270
Co31 0.872 0.202 0.796
Co32 0.890 0.785 0.697
Co33 0.910 0.355 0.107
Co34 0.944 0.402 0.604
Se1 0.007 0.789 0.529
Se2 0.025 0.799 0.031
Se3 0.079 0.405 0.265
Se4 0.081 0.417 0.771
Se5 0.117 0.994 0.835
Se6 0.121 0.005 0.338
Se7 0.165 0.605 0.574
Se8 0.185 0.618 0.066
Se9 0.217 0.212 0.133
Se10 0.225 0.205 0.631
Se11 0.264 0.810 0.366
Se12 0.320 0.819 0.873
Se13 0.325 0.408 0.936
Se14 0.332 0.407 0.439
Se15 0.350 0.998 0.175
Se16 0.352 0.005 0.671
Se17 0.437 0.612 0.731
Se18 0.438 0.611 0.235
Se19 0.453 0.194 0.960
Se20 0.490 0.806 0.524
Se21 0.510 0.194 0.476
Se22 0.547 0.806 0.040
Se23 0.562 0.389 0.765
Se24 0.563 0.388 0.269
Se25 0.648 0.995 0.329
Se26 0.650 0.002 0.825
Se27 0.668 0.593 0.561
Se28 0.675 0.592 0.064
Se29 0.680 0.181 0.127
Se30 0.736 0.190 0.634
Se31 0.775 0.795 0.369
Se32 0.783 0.788 0.867
Se33 0.815 0.382 0.934
Se34 0.835 0.395 0.426
Se35 0.879 0.995 0.662
Se36 0.883 0.006 0.165
Se37 0.919 0.583 0.229
Se38 0.921 0.595 0.735
Se39 0.975 0.201 0.969
Se40 0.993 0.211 0.471
# * space-group type: No. 2

***

# 3
# Co5Se4 PBE relaxed
data_Co5Se4
_chemical_formula_sum 'Co10 Se8'
_cell_length_a 7.423
_cell_length_b 7.423
_cell_length_c 5.252
_cell_angle_alpha 90.00
_cell_angle_beta 90.00
_cell_angle_gamma 120.00
_space_group_name_H-M_alt 'P 1'
_space_group_IT_number 1
_space_group_name_Hall 'P 1'
loop_
_atom_site_label
_atom_site_fract_x
_atom_site_fract_y
_atom_site_fract_z
Co1 0.000 0.317 0.250
Co2 0.000 0.683 0.750
Co3 0.317 0.000 0.250
Co4 0.317 0.317 0.750
Co5 0.333 0.667 0.000
Co6 0.333 0.667 0.500
Co7 0.667 0.333 0.000
Co8 0.667 0.333 0.500
Co9 0.683 0.000 0.750
Co10 0.683 0.683 0.250
Se1 0.000 0.000 0.000
Se2 0.000 0.000 0.500
Se3 0.000 0.378 0.750
Se4 0.000 0.622 0.250
Se5 0.378 0.000 0.750
Se6 0.378 0.378 0.250
Se7 0.622 0.000 0.250
Se8 0.622 0.622 0.750
# * space-group type: No. 193

***

# 4
# CoSe PBE relaxed
data_CoSe
_chemical_formula_sum 'Co4 Se4'
_cell_length_a 6.475
_cell_length_b 3.737
_cell_length_c 7.076
_cell_angle_alpha 90.00
_cell_angle_beta 107.26
_cell_angle_gamma 90.00
_space_group_name_H-M_alt 'P 1'
_space_group_IT_number 1
_space_group_name_Hall 'P 1'
loop_
_atom_site_label
_atom_site_fract_x
_atom_site_fract_y
_atom_site_fract_z
Co1 0.130 0.000 0.387
Co2 0.370 0.500 0.613
Co3 0.630 0.500 0.387
Co4 0.870 0.000 0.613
Se1 0.241 0.000 0.728
Se2 0.259 0.500 0.272
Se3 0.741 0.500 0.728
Se4 0.759 0.000 0.272
# * space-group type: No. 12

***

The evaluated raw formation energy for the records listed, in turn: 0.37; -0.23; 0.28; -0.23 eV per atom.
The evaluated electronic total energy for the records listed, in turn: -6.0135; -5.3754; -5.2210; -5.5231 eV/atom.